Model a:
{"formula": "P4S3I2", "functional": "GGA-PBEsol", "state": "optimized geometry", "lattice_angstrom": [[6.574, 0.000, 0.000], [0.000, 9.048, 0.000], [0.000, 0.000, 16.172]], "species": ["P", "P", "P", "P", "P", "P", "P", "P", "P", "P", "P", "P", "P", "P", "P", "P", "S", "S", "S", "S", "S", "S", "S", "S", "S", "S", "S", "S", "I", "I", "I", "I", "I", "I", "I", "I"], "fractional_positions": [[0.311, 0.376, 0.250], [0.531, 0.508, 0.854], [0.760, 0.240, 0.250], [0.811, 0.124, 0.750], [0.240, 0.760, 0.750], [0.531, 0.508, 0.646], [0.969, 0.008, 0.854], [0.469, 0.492, 0.146], [0.260, 0.260, 0.750], [0.740, 0.740, 0.250], [0.469, 0.492, 0.354], [0.689, 0.624, 0.750], [0.031, 0.992, 0.146], [0.189, 0.876, 0.250], [0.969, 0.008, 0.646], [0.031, 0.992, 0.354], [0.741, 0.886, 0.353], [0.241, 0.614, 0.853], [0.544, 0.831, 0.750], [0.759, 0.386, 0.353], [0.456, 0.169, 0.250], [0.044, 0.669, 0.250], [0.956, 0.331, 0.750], [0.741, 0.886, 0.147], [0.259, 0.114, 0.647], [0.259, 0.114, 0.853], [0.241, 0.614, 0.647], [0.759, 0.386, 0.147], [0.282, 0.350, 0.462], [0.218, 0.850, 0.462], [0.782, 0.150, 0.538], [0.718, 0.650, 0.962], [0.782, 0.150, 0.962], [0.718, 0.650, 0.538], [0.218, 0.850, 0.038], [0.282, 0.350, 0.038]], "space_group": "No. 62"}

=====

Model b:
{"formula": "P4S3I2", "functional": "GGA-PBEsol", "state": "optimized geometry", "lattice_angstrom": [[-0.899, -0.118, 7.155], [-5.777, -4.296, -0.780], [10.095, -16.875, 1.166]], "species": ["I", "I", "I", "I", "I", "I", "I", "I", "P", "P", "P", "P", "P", "P", "P", "P", "P", "P", "P", "P", "P", "P", "P", "P", "S", "S", "S", "S", "S", "S", "S", "S", "S", "S", "S", "S"], "fractional_positions": [[0.229, 0.853, 0.202], [0.771, 0.147, 0.798], [0.388, 0.961, 0.401], [0.900, 0.725, 0.702], [0.100, 0.275, 0.298], [0.612, 0.039, 0.599], [0.066, 0.411, 0.900], [0.934, 0.589, 0.100], [0.438, 0.483, 0.614], [0.602, 0.727, 0.459], [0.968, 0.549, 0.602], [0.950, 0.714, 0.340], [0.716, 0.390, 0.041], [0.513, 0.592, 0.884], [0.322, 0.990, 0.842], [0.571, 0.056, 0.900], [0.678, 0.010, 0.158], [0.050, 0.286, 0.660], [0.032, 0.451, 0.398], [0.429, 0.944, 0.100], [0.284, 0.610, 0.959], [0.562, 0.517, 0.386], [0.398, 0.273, 0.541], [0.487, 0.408, 0.116], [0.181, 0.881, 0.933], [0.773, 0.343, 0.433], [0.697, 0.643, 0.299], [0.303, 0.357, 0.701], [0.407, 0.750, 0.799], [0.227, 0.657, 0.567], [0.327, 0.210, 0.067], [0.868, 0.833, 0.432], [0.593, 0.250, 0.201], [0.673, 0.790, 0.933], [0.819, 0.119, 0.067], [0.132, 0.167, 0.568]], "space_group": "No. 2"}

=====

model b (5 meV/atom below the next structure)

=====

Model a:
{"formula": "ZrPS2I", "functional": "GGA-PBEsol", "state": "optimized geometry", "lattice_angstrom": [[-4.123, 2.458, -0.311], [-2.458, -4.134, -0.083], [-0.348, 0.099, 5.393]], "species": ["S", "S", "P", "I", "Zr"], "fractional_positions": [[0.500, 0.000, 0.000], [0.000, 0.500, 0.000], [0.000, 0.000, 0.500], [0.500, 0.500, 0.500], [0.000, 0.000, 0.000]], "space_group": "No. 123"}

=====

Model b:
{"formula": "ZrPS2I", "functional": "GGA-PBEsol", "state": "optimized geometry", "lattice_angstrom": [[-1.494, 4.630, 0.486], [-3.571, -1.468, 3.000], [3.048, 0.573, 3.908]], "species": ["I", "Zr", "P", "S", "S"], "fractional_positions": [[0.000, 0.000, 0.000], [0.500, 0.500, 0.500], [0.000, 0.000, 0.500], [0.000, 0.500, 0.000], [0.500, 0.000, 0.000]], "space_group": "No. 123"}

=====

model a (1063 meV/atom below the next structure)

=====

Model a:
{"formula": "SbPb2S2I3", "functional": "GGA-PBEsol", "state": "optimized geometry", "lattice_angstrom": [[-1.171, -3.494, -2.106], [5.983, 2.671, -3.480], [9.601, -9.002, 9.598]], "species": ["Sb", "Sb", "Pb", "Pb", "Pb", "Pb", "I", "I", "I", "I", "I", "I", "S", "S", "S", "S"], "fractional_positions": [[0.355, 0.710, 0.018], [0.645, 0.290, 0.518], [0.695, 0.390, 0.245], [0.619, 0.239, 0.970], [0.305, 0.610, 0.745], [0.381, 0.761, 0.470], [0.643, 0.287, 0.748], [0.357, 0.713, 0.248], [0.062, 0.124, 0.124], [0.938, 0.876, 0.624], [0.056, 0.113, 0.382], [0.944, 0.887, 0.882], [0.772, 0.544, 0.078], [0.769, 0.537, 0.414], [0.231, 0.463, 0.914], [0.228, 0.456, 0.578]], "space_group": "No. 36"}

=====

Model b:
{"formula": "SbPb2S2I3", "functional": "GGA-PBEsol", "state": "optimized geometry", "lattice_angstrom": [[-4.467, -5.836, -0.210], [4.588, -0.117, -7.238], [11.414, -9.002, 7.381]], "species": ["I", "I", "I", "I", "I", "I", "I", "I", "I", "I", "I", "I", "Pb", "Pb", "Pb", "Pb", "Pb", "Pb", "Pb", "Pb", "S", "S", "S", "S", "S", "S", "S", "S", "Sb", "Sb", "Sb", "Sb"], "fractional_positions": [[0.900, 0.470, 0.879], [0.100, 0.030, 0.379], [0.297, 0.829, 0.757], [0.703, 0.171, 0.243], [0.873, 0.467, 0.619], [0.900, 0.970, 0.621], [0.873, 0.967, 0.881], [0.127, 0.533, 0.381], [0.127, 0.033, 0.119], [0.703, 0.671, 0.257], [0.297, 0.329, 0.743], [0.100, 0.530, 0.121], [0.379, 0.835, 0.236], [0.621, 0.665, 0.736], [0.379, 0.335, 0.264], [0.763, 0.693, 0.467], [0.763, 0.193, 0.033], [0.237, 0.307, 0.533], [0.621, 0.165, 0.764], [0.237, 0.807, 0.967], [0.463, 0.595, 0.913], [0.463, 0.095, 0.587], [0.539, 0.869, 0.077], [0.461, 0.131, 0.923], [0.461, 0.631, 0.577], [0.539, 0.369, 0.423], [0.537, 0.905, 0.413], [0.537, 0.405, 0.087], [0.711, 0.679, 0.021], [0.711, 0.179, 0.479], [0.289, 0.821, 0.521], [0.289, 0.321, 0.979]], "space_group": "No. 14"}

=====

model b (14 meV/atom below the next structure)

=====

Model a:
{"formula": "Sb2RhSI", "functional": "GGA-PBEsol", "state": "optimized geometry", "lattice_angstrom": [[-2.909, 2.095, 3.543], [1.829, -3.229, 3.411], [3.832, 3.382, 1.146]], "species": ["S", "Rh", "Sb", "Sb", "I"], "fractional_positions": [[0.500, 0.500, 0.500], [0.000, 0.000, 0.000], [0.500, 0.000, 0.000], [0.000, 0.500, 0.000], [0.000, 0.000, 0.500]], "space_group": "No. 123"}

=====

Model b:
{"formula": "Sb2RhSI", "functional": "GGA-PBEsol", "state": "optimized geometry", "lattice_angstrom": [[-1.284, 0.192, 4.901], [3.350, -3.665, 1.022], [3.555, 3.471, 0.796]], "species": ["Rh", "I", "Sb", "Sb", "S"], "fractional_positions": [[0.500, 0.500, 0.500], [0.000, 0.000, 0.500], [0.500, 0.000, 0.000], [0.000, 0.500, 0.000], [0.000, 0.000, 0.000]], "space_group": "No. 123"}

=====

model a (569 meV/atom below the next structure)

=====

Model a:
{"formula": "RhSeI2", "functional": "GGA-PBEsol", "state": "optimized geometry", "lattice_angstrom": [[4.976, 0.000, 0.000], [2.488, 4.309, 0.000], [2.488, 1.436, 4.063]], "species": ["Rh", "I", "I", "Se"], "fractional_positions": [[0.500, 0.500, 0.500], [0.250, 0.250, 0.250], [0.750, 0.750, 0.750], [0.000, 0.000, 0.000]], "space_group": "No. 225"}

=====

Model b:
{"formula": "RhSeI2", "functional": "GGA-PBEsol", "state": "optimized geometry", "lattice_angstrom": [[6.481, 0.105, 0.170], [-2.373, 6.032, -0.170], [-2.373, -2.855, 5.317]], "species": ["Rh", "Rh", "Se", "Se", "I", "I", "I", "I"], "fractional_positions": [[0.500, 0.750, 0.250], [0.000, 0.000, 0.000], [0.500, 0.250, 0.750], [0.000, 0.500, 0.500], [0.047, 0.375, 0.922], [0.453, 0.078, 0.125], [0.547, 0.672, 0.625], [0.953, 0.875, 0.328]], "space_group": "No. 122"}

=====

model b (333 meV/atom below the next structure)

=====

Model a:
{"formula": "ScSI3", "functional": "GGA-PBEsol", "state": "optimized geometry", "lattice_angstrom": [[-3.758, 2.947, -2.930], [-2.442, -4.763, -1.657], [-3.362, 0.166, 4.479]], "species": ["I", "I", "I", "S", "Sc"], "fractional_positions": [[0.500, 0.000, 0.000], [0.000, 0.500, 0.000], [0.000, 0.000, 0.500], [0.500, 0.500, 0.500], [0.000, 0.000, 0.000]], "space_group": "No. 221"}

=====

Model b:
{"formula": "ScSI3", "functional": "GGA-PBEsol", "state": "optimized geometry", "lattice_angstrom": [[5.438, 0.000, 0.000], [0.000, 5.438, 0.000], [0.000, 0.000, 5.438]], "species": ["I", "I", "I", "Sc", "S"], "fractional_positions": [[0.000, 0.500, 0.000], [0.000, 0.000, 0.500], [0.500, 0.000, 0.000], [0.500, 0.500, 0.500], [0.000, 0.000, 0.000]], "space_group": "No. 221"}

=====

model a (468 meV/atom below the next structure)

=====

Model a:
{"formula": "TaSbTeI2", "functional": "GGA-PBEsol", "state": "optimized geometry", "lattice_angstrom": [[5.679, 0.000, 0.000], [0.000, 5.679, 0.000], [0.000, 0.000, 5.794]], "species": ["Te", "I", "I", "Ta", "Sb"], "fractional_positions": [[0.000, 0.000, 0.000], [0.000, 0.500, 0.000], [0.500, 0.000, 0.000], [0.500, 0.500, 0.500], [0.000, 0.000, 0.500]], "space_group": "No. 123"}

=====

Model b:
{"formula": "TaSbTeI2", "functional": "GGA-PBEsol", "state": "optimized geometry", "lattice_angstrom": [[-2.954, -4.534, 0.045], [4.435, -2.898, -0.852], [0.738, -0.428, 5.298]], "species": ["Te", "I", "I", "Sb", "Ta"], "fractional_positions": [[0.500, 0.000, 0.000], [0.000, 0.000, 0.500], [0.000, 0.500, 0.000], [0.500, 0.500, 0.500], [0.000, 0.000, 0.000]], "space_group": "No. 123"}

=====

model b (1089 meV/atom below the next structure)

=====

Model a:
{"formula": "TaTe2SeI", "functional": "GGA-PBEsol", "state": "optimized geometry", "lattice_angstrom": [[-3.872, 3.076, -1.947], [-3.518, -2.431, 3.156], [0.936, 3.586, 3.804]], "species": ["Ta", "Se", "I", "Te", "Te"], "fractional_positions": [[0.000, 0.000, 0.000], [0.500, 0.500, 0.500], [0.000, 0.000, 0.500], [0.500, 0.000, 0.000], [0.000, 0.500, 0.000]], "space_group": "No. 123"}

=====

Model b:
{"formula": "TaTe2SeI", "functional": "GGA-PBEsol", "state": "optimized geometry", "lattice_angstrom": [[5.335, 0.000, 0.000], [0.000, 5.335, 0.000], [0.000, 0.000, 5.300]], "species": ["Te", "Te", "Se", "Ta", "I"], "fractional_positions": [[0.000, 0.500, 0.000], [0.500, 0.000, 0.000], [0.000, 0.000, 0.000], [0.500, 0.500, 0.500], [0.000, 0.000, 0.500]], "space_group": "No. 123"}

=====

model a (856 meV/atom below the next structure)

=====

Model a:
{"formula": "TlSeI3", "functional": "GGA-PBEsol", "state": "optimized geometry", "lattice_angstrom": [[-4.123, -2.626, -3.322], [-2.636, -2.038, 4.881], [-3.315, 4.887, 0.251]], "species": ["I", "I", "I", "Se", "Tl"], "fractional_positions": [[0.500, 0.000, 0.000], [0.000, 0.500, 0.000], [0.000, 0.000, 0.500], [0.500, 0.500, 0.500], [0.000, 0.000, 0.000]], "space_group": "No. 221"}

=====

Model b:
{"formula": "TlSeI3", "functional": "GGA-PBEsol", "state": "optimized geometry", "lattice_angstrom": [[-5.209, -2.212, 0.765], [2.338, -5.009, 1.432], [0.116, 1.620, 5.475]], "species": ["I", "I", "I", "Tl", "Se"], "fractional_positions": [[0.500, 0.000, 0.000], [0.000, 0.500, 0.000], [0.000, 0.000, 0.500], [0.500, 0.500, 0.500], [0.000, 0.000, 0.000]], "space_group": "No. 221"}

=====

model b (569 meV/atom below the next structure)

=====

Model a:
{"formula": "TeI", "functional": "GGA-PBEsol", "state": "optimized geometry", "lattice_angstrom": [[-0.442, 4.126, 0.491], [-3.489, 0.894, 7.123], [8.238, 2.512, 4.086]], "species": ["I", "I", "I", "I", "Te", "Te", "Te", "Te"], "fractional_positions": [[0.665, 0.228, 0.442], [0.534, 0.123, 0.810], [0.335, 0.772, 0.558], [0.466, 0.877, 0.190], [0.235, 0.683, 0.847], [0.118, 0.581, 0.183], [0.765, 0.317, 0.153], [0.882, 0.419, 0.817]], "space_group": "No. 12"}

=====

Model b:
{"formula": "TeI", "functional": "GGA-PBEsol", "state": "optimized geometry", "lattice_angstrom": [[8.155, -0.023, 0.012], [2.029, 7.732, 0.082], [0.042, 2.319, 9.525]], "species": ["Te", "Te", "Te", "Te", "Te", "Te", "Te", "Te", "I", "I", "I", "I", "I", "I", "I", "I"], "fractional_positions": [[0.321, 0.723, 0.290], [0.988, 0.006, 0.805], [0.012, 0.994, 0.195], [0.679, 0.277, 0.710], [0.489, 0.996, 0.196], [0.511, 0.004, 0.804], [0.814, 0.732, 0.819], [0.186, 0.268, 0.181], [0.677, 0.294, 0.423], [0.180, 0.297, 0.459], [0.686, 0.298, 0.065], [0.323, 0.706, 0.577], [0.166, 0.301, 0.824], [0.834, 0.699, 0.176], [0.820, 0.703, 0.541], [0.314, 0.702, 0.935]], "space_group": "No. 2"}

=====

model a (19 meV/atom below the next structure)

=====

Model a:
{"formula": "YTlTeI2", "functional": "GGA-PBEsol", "state": "optimized geometry", "lattice_angstrom": [[-0.343, 1.436, 5.495], [2.150, -5.191, 1.491], [5.390, 2.166, -0.230]], "species": ["Y", "I", "I", "Tl", "Te"], "fractional_positions": [[0.500, 0.500, 0.500], [0.000, 0.500, 0.000], [0.000, 0.000, 0.500], [0.000, 0.000, 0.000], [0.500, 0.000, 0.000]], "space_group": "No. 123"}

=====

Model b:
{"formula": "YTlTeI2", "functional": "GGA-PBEsol", "state": "optimized geometry", "lattice_angstrom": [[5.835, 0.000, 0.000], [0.000, 5.916, 0.000], [0.000, 0.000, 5.916]], "species": ["Y", "Te", "I", "I", "Tl"], "fractional_positions": [[0.000, 0.000, 0.000], [0.500, 0.000, 0.000], [0.000, 0.000, 0.500], [0.000, 0.500, 0.000], [0.500, 0.500, 0.500]], "space_group": "No. 123"}

=====

model b (911 meV/atom below the next structure)